# 1
DFT (GGA+U) results for a relaxed structure of K2FePt2O6.

Lattice parameters (Å, degrees): 5.516 9.619 6.305 90.00 106.32 90.00
Space group C2/m (No. 12)
Inequivalent atoms, fractional coordinates:
K 0.000 0.163 0.000 (multiplicity 4)
Fe 0.000 0.000 0.500 (multiplicity 2)
Pt 0.000 0.334 0.500 (multiplicity 4)
O 0.207 0.500 0.668 (multiplicity 4)
O 0.225 0.173 0.667 (multiplicity 8)

The volume is 321.04 Å³/cell. For the electronic total energy, the calculation gives -0.4098 Ry per atom. The size of the total moment is 8.0 Bohr magnetons per cell.

---

# 2
DFT (GGA+U) results for a relaxed structure of KPuFe2O8.

Lattice parameters (Å, degrees): 5.8488 5.8488 7.5255 90.00 90.00 120.00
Space group P-3m1 (No. 164)
Inequivalent atoms, fractional coordinates:
K 0.0000 0.0000 0.0000 (multiplicity 1)
Pu 0.0000 0.0000 0.5000 (multiplicity 1)
Fe 0.3333 0.6667 0.2627 (multiplicity 2)
O 0.1594 0.3188 0.3408 (multiplicity 6)
O 0.3333 0.6667 0.0407 (multiplicity 2)

The volume is 222.94 Å³/cell. For the electronic total energy, the calculation gives -0.5120 Ry per atom. The size of the total moment is 9.0 Bohr magnetons per cell.

---

# 3
DFT (GGA+U) results for a relaxed structure of KPuFeO5.

Lattice parameters (Å, degrees): 7.448 9.714 8.017 90.00 116.05 90.00
Space group C2/c (No. 15)
Inequivalent atoms, fractional coordinates:
K 0.000 0.169 0.250 (multiplicity 4)
Pu 0.000 0.500 0.000 (multiplicity 4)
Fe 0.000 0.190 0.750 (multiplicity 4)
O 0.000 0.441 0.250 (multiplicity 4)
O 0.086 0.304 0.606 (multiplicity 8)
O 0.207 0.067 0.896 (multiplicity 8)

The volume is 521.06 Å³/cell. For the electronic total energy, the calculation gives -0.5744 Ry per atom. The size of the total moment is 28.0 Bohr magnetons per cell.

---

# 4
DFT (GGA+U) results for a relaxed structure of K3PuFe2O8.

Lattice parameters (Å, degrees): 5.9410 5.9410 7.7387 90.00 90.00 120.00
Space group P-3m1 (No. 164)
Inequivalent atoms, fractional coordinates:
K 0.0000 0.0000 0.0000 (multiplicity 1)
K 0.3333 0.6667 0.6931 (multiplicity 2)
Pu 0.0000 0.0000 0.5000 (multiplicity 1)
Fe 0.3333 0.6667 0.2417 (multiplicity 2)
O 0.1615 0.3231 0.3475 (multiplicity 6)
O 0.3333 0.6667 0.0179 (multiplicity 2)

The volume is 236.55 Å³/cell. For the electronic total energy, the calculation gives -0.4901 Ry per atom. The size of the total moment is 11.0 Bohr magnetons per cell.

---

# 5
DFT (GGA+U) results for a relaxed structure of KPuFeO4.

Lattice parameters (Å, degrees): 7.089 7.308 8.347 90.00 90.00 90.00
Space group Imma (No. 74)
Inequivalent atoms, fractional coordinates:
K 0.000 0.250 0.152 (multiplicity 4)
Pu 0.250 0.250 0.750 (multiplicity 4)
Fe 0.000 0.000 0.500 (multiplicity 4)
O 0.000 0.065 0.743 (multiplicity 8)
O 0.197 0.250 0.511 (multiplicity 8)

The volume is 432.41 Å³/cell. For the electronic total energy, the calculation gives -0.5641 Ry per atom. The size of the total moment is 12.0 Bohr magnetons per cell.

---

# 6
DFT (GGA+U) results for a relaxed structure of KPu2FeO8.

Lattice parameters (Å, degrees): 4.963 6.908 4.966 90.00 93.44 90.00
Space group P2/m (No. 10)
Inequivalent atoms, fractional coordinates:
K 0.000 0.000 0.000 (multiplicity 1)
Pu 0.500 0.259 0.500 (multiplicity 2)
Fe 0.000 0.500 0.000 (multiplicity 1)
O 0.216 0.293 0.214 (multiplicity 4)
O 0.296 0.500 0.703 (multiplicity 2)
O 0.336 0.000 0.662 (multiplicity 2)

The volume is 169.96 Å³/cell. For the electronic total energy, the calculation gives -0.6151 Ry per atom. The size of the total moment is 9.0 Bohr magnetons per cell.

---

# 7
DFT (GGA+U) results for a relaxed structure of KPuFeO6.

Lattice parameters (Å, degrees): 5.2352 5.2352 6.0736 90.00 90.00 120.00
Space group P312 (No. 149)
Inequivalent atoms, fractional coordinates:
K 0.0000 0.0000 0.0000 (multiplicity 1)
Pu 0.3333 0.6667 0.5000 (multiplicity 1)
Fe 0.6667 0.3333 0.5000 (multiplicity 1)
O 0.3789 0.0122 0.6772 (multiplicity 6)

The volume is 144.17 Å³/cell. For the electronic total energy, the calculation gives -0.5418 Ry per atom. The size of the total moment is 3.0 Bohr magnetons per cell.

---

# 8
DFT (GGA+U) results for a relaxed structure of K3Pu2FeO9.

Lattice parameters (Å, degrees): 5.8580 5.8580 7.2084 90.00 90.00 120.00
Space group P-3m1 (No. 164)
Inequivalent atoms, fractional coordinates:
K 0.0000 0.0000 0.0000 (multiplicity 1)
K 0.3333 0.6667 0.6603 (multiplicity 2)
Pu 0.3333 0.6667 0.1774 (multiplicity 2)
Fe 0.0000 0.0000 0.5000 (multiplicity 1)
O 0.0000 0.5000 0.0000 (multiplicity 3)
O 0.1661 0.3322 0.3349 (multiplicity 6)

The volume is 214.22 Å³/cell. For the electronic total energy, the calculation gives -0.5636 Ry per atom. The size of the total moment is 9.0 Bohr magnetons per cell.

---

# 9
DFT (GGA+U) results for a relaxed structure of KRb2FeO4.

Lattice parameters (Å, degrees): 6.638 6.638 7.567 90.00 90.00 90.00
Space group I-4 (No. 82)
Inequivalent atoms, fractional coordinates:
K 0.000 0.000 0.000 (multiplicity 2)
Rb 0.000 0.000 0.500 (multiplicity 2)
Rb 0.000 0.500 0.750 (multiplicity 2)
Fe 0.000 0.500 0.250 (multiplicity 2)
O 0.152 0.330 0.131 (multiplicity 8)

The volume is 333.42 Å³/cell. For the electronic total energy, the calculation gives -0.3494 Ry per atom. The size of the total moment is 6.0 Bohr magnetons per cell.

---

# 10
DFT (GGA+U) results for a relaxed structure of K2RbFeO4.

Lattice parameters (Å, degrees): 6.737 6.737 7.108 90.00 90.00 90.00
Space group I-4 (No. 82)
Inequivalent atoms, fractional coordinates:
K 0.000 0.000 0.000 (multiplicity 2)
K 0.000 0.500 0.250 (multiplicity 2)
Rb 0.000 0.500 0.750 (multiplicity 2)
Fe 0.000 0.000 0.500 (multiplicity 2)
O 0.148 0.166 0.370 (multiplicity 8)

The volume is 322.62 Å³/cell. For the electronic total energy, the calculation gives -0.3499 Ry per atom. The size of the total moment is 6.0 Bohr magnetons per cell.

---

# 11
DFT (GGA+U) results for a relaxed structure of K3FeRe2O9.

Lattice parameters (Å, degrees): 5.5995 5.5995 6.8771 90.00 90.00 120.00
Space group P-3m1 (No. 164)
Inequivalent atoms, fractional coordinates:
K 0.0000 0.0000 0.0000 (multiplicity 1)
K 0.3333 0.6667 0.6638 (multiplicity 2)
Fe 0.0000 0.0000 0.5000 (multiplicity 1)
Re 0.3333 0.6667 0.1717 (multiplicity 2)
O 0.0000 0.5000 0.0000 (multiplicity 3)
O 0.1721 0.3443 0.3234 (multiplicity 6)

The volume is 186.74 Å³/cell. For the electronic total energy, the calculation gives -0.5079 Ry per atom. The size of the total moment is 4.1 Bohr magnetons per cell.

---

# 12
DFT (GGA+U) results for a relaxed structure of KFeRe2O8.

Lattice parameters (Å, degrees): 5.8483 5.8483 25.5016 90.00 90.00 120.00
Space group R-3m (No. 166, hexagonal axes)
Inequivalent atoms, fractional coordinates:
K 0.0000 0.0000 0.0000 (multiplicity 3)
Fe 0.0000 0.0000 0.5000 (multiplicity 3)
Re 0.0000 0.0000 0.2375 (multiplicity 6)
O 0.0000 0.0000 0.3069 (multiplicity 6)
O 0.0027 0.5013 0.8812 (multiplicity 18)

The volume is 755.37 Å³/cell. For the electronic total energy, the calculation gives -0.5531 Ry per atom. The size of the total moment is 8.9 Bohr magnetons per cell.